# PBE PrZn, optimized geometry
# energy of formation: -155 meV per atom
# E_tot: -12.699 eV/cell
# mass density: 6454 kg/m3
# crystal system: hexagonal
data_PrZn
_space_group_name_H-M_alt 'P 1'
_space_group_IT_number 1
_cell_length_a 4.9965
_cell_length_b 4.9965
_cell_length_c 4.9102
_cell_angle_alpha 90.00
_cell_angle_beta 90.00
_cell_angle_gamma 120.00
loop_
_space_group_symop_operation_xyz
'x,y,z'
loop_
_atom_site_label
_atom_site_type_symbol
_atom_site_fract_x
_atom_site_fract_y
_atom_site_fract_z
Pr1 Pr 0.3333 0.6667 0.2500
Pr2 Pr 0.6667 0.3333 0.7500
Zn1 Zn 0.0000 0.0000 0.0000
Zn2 Zn 0.0000 0.0000 0.5000